The following is a PBE calculation of a geometry-optimized BiOs2PdF structure, from the Alexandria database.

a b c (Å): 4.216 4.216 4.833
angles (deg): 90.00 90.00 90.00
Space group P4/mmm (No. 123)
Asymmetric unit:
Bi (0.000, 0.000, 0.000) x1
Os (0.000, 0.500, 0.500) x2
Pd (0.500, 0.500, 0.000) x1
F (0.000, 0.000, 0.500) x1

Output
- Total moment: 0.1098 μB/atom
- DFT total energy: -5.486 eV per atom
- Calculated volume: 86 Å³/cell